Computed, not measured: SbH2 after structural relaxation at the GGA-PBE level of DFT.

For the total magnetization, the calculation gives 0.000 μB/cell. Its relative energy among the computed polymorphs is 0.108 eV per atom. The calculation puts the volume at 238 Å³ per cell.

It has space group Cm (No. 8), with a = 12.335 Å, b = 4.347 Å, c = 4.694 Å, α = 90.00°, β = 108.78° and γ = 90.00°. The distinct sites, in fractional coordinates, are Sb at (0.000, 0.000, 0.000), Sb at (0.022, 0.500, 0.601), H at (0.147, 0.000, 0.178), H at (0.171, 0.500, 0.743), H at (0.266, 0.500, 0.394) and H at (0.304, 0.500, 0.295).